The following is a GGA-PBE calculation of a relaxed structure of Fe2I2N, from Alexandria via LeMat-Bulk.

Lattice parameters (Å, degrees): 6.9666 6.9666 3.6430 90.00 90.00 90.00
Closest atoms and distances in Å follow each position.
Fractional coordinates of all 10 atoms:
Fe1 0.1077 0.3923 0.0000  1 Fe 2.12
Fe2 0.3923 0.8923 0.0000  1 Fe 2.12
Fe3 0.6077 0.1077 0.0000  1 Fe 2.12
Fe4 0.8923 0.6077 0.0000  1 Fe 2.12
I1 0.1885 0.6885 0.5000  2 N 2.54, 6 Fe 2.71-2.81
I2 0.3115 0.1885 0.5000  2 N 2.54, 6 Fe 2.71-2.81
I3 0.6885 0.8115 0.5000  2 N 2.54, 6 Fe 2.71-2.81
I4 0.8115 0.3115 0.5000  2 N 2.54, 6 Fe 2.71-2.81
N1 0.0000 0.0000 0.5000  4 I 2.54
N2 0.5000 0.5000 0.5000  4 I 2.54

Summary:
Symmetry: P4/mbm (127)
Relative energy among the computed polymorphs in kcal/mol of atoms: 8.12
Magnetization in μB per formula unit: 0.740
VASP energy in eV for the cell shown: -38.7
Formation energy without anion corrections in eV per atom: 1.797